(1)
Density functional theory data (PBEsol) for a relaxed Li3Pb crystal.

Cell lengths 3.910, 4.470, 8.401 Å; angles 90.00, 90.00, 90.00 degrees
Element x y z (fractional)
1 Li 0.000 0.000 0.000
2 Li 0.000 0.500 0.254
3 Li 0.000 0.500 0.746
4 Li 0.500 0.000 0.246
5 Li 0.500 0.000 0.754
6 Li 0.500 0.500 0.500
7 Pb 0.000 0.000 0.500
8 Pb 0.500 0.500 0.000

Properties
Calculated volume   146.80 Å³ per cell
Symmetry   Immm, No. 71
Raw total energy   -11.23 eV/f.u.


(2)
Density functional theory data (PBEsol) for a relaxed Li17Pb4 crystal.

Cell lengths 13.935, 13.935, 13.935 Å; angles 60.00, 60.00, 60.00 degrees
Element x y z (fractional)
1 Li 0.000 0.000 0.000
2 Li 0.007 0.007 0.320
3 Li 0.007 0.007 0.667
4 Li 0.007 0.320 0.007
5 Li 0.007 0.320 0.667
6 Li 0.007 0.667 0.007
7 Li 0.007 0.667 0.320
8 Li 0.059 0.419 0.761
9 Li 0.059 0.761 0.419
10 Li 0.059 0.761 0.761
11 Li 0.075 0.075 0.075
12 Li 0.075 0.075 0.775
13 Li 0.075 0.775 0.075
14 Li 0.076 0.076 0.424
15 Li 0.076 0.424 0.076
16 Li 0.076 0.424 0.424
17 Li 0.089 0.304 0.304
18 Li 0.172 0.172 0.828
19 Li 0.172 0.828 0.172
20 Li 0.172 0.828 0.828
21 Li 0.173 0.519 0.519
22 Li 0.173 0.519 0.789
23 Li 0.173 0.789 0.519
24 Li 0.266 0.266 0.549
25 Li 0.266 0.266 0.920
26 Li 0.266 0.549 0.266
27 Li 0.266 0.549 0.920
28 Li 0.266 0.920 0.266
29 Li 0.266 0.920 0.549
30 Li 0.304 0.089 0.304
31 Li 0.304 0.304 0.089
32 Li 0.304 0.304 0.304
33 Li 0.320 0.007 0.007
34 Li 0.320 0.007 0.667
35 Li 0.320 0.667 0.007
36 Li 0.333 0.556 0.556
37 Li 0.417 0.417 0.417
38 Li 0.417 0.417 0.750
39 Li 0.417 0.750 0.417
40 Li 0.419 0.059 0.761
41 Li 0.419 0.761 0.059
42 Li 0.419 0.761 0.761
43 Li 0.424 0.076 0.076
44 Li 0.424 0.076 0.424
45 Li 0.424 0.424 0.076
46 Li 0.514 0.829 0.829
47 Li 0.519 0.173 0.519
48 Li 0.519 0.173 0.789
49 Li 0.519 0.519 0.173
50 Li 0.519 0.519 0.789
51 Li 0.519 0.789 0.173
52 Li 0.519 0.789 0.519
53 Li 0.549 0.266 0.266
54 Li 0.549 0.266 0.920
55 Li 0.549 0.920 0.266
56 Li 0.556 0.333 0.556
57 Li 0.556 0.556 0.333
58 Li 0.556 0.556 0.556
59 Li 0.667 0.007 0.007
60 Li 0.667 0.007 0.320
61 Li 0.667 0.320 0.007
62 Li 0.684 0.684 0.684
63 Li 0.684 0.684 0.948
64 Li 0.684 0.948 0.684
65 Li 0.750 0.417 0.417
66 Li 0.761 0.059 0.419
67 Li 0.761 0.059 0.761
68 Li 0.761 0.419 0.059
69 Li 0.761 0.419 0.761
70 Li 0.761 0.761 0.059
71 Li 0.761 0.761 0.419
72 Li 0.775 0.075 0.075
73 Li 0.789 0.173 0.519
74 Li 0.789 0.519 0.173
75 Li 0.789 0.519 0.519
76 Li 0.828 0.172 0.172
77 Li 0.828 0.172 0.828
78 Li 0.828 0.828 0.172
79 Li 0.829 0.514 0.829
80 Li 0.829 0.829 0.514
81 Li 0.829 0.829 0.829
82 Li 0.920 0.266 0.266
83 Li 0.920 0.266 0.549
84 Li 0.920 0.549 0.266
85 Li 0.948 0.684 0.684
86 Pb 0.160 0.160 0.160
87 Pb 0.160 0.160 0.520
88 Pb 0.160 0.520 0.160
89 Pb 0.251 0.916 0.916
90 Pb 0.321 0.321 0.679
91 Pb 0.321 0.679 0.321
92 Pb 0.321 0.679 0.679
93 Pb 0.520 0.160 0.160
94 Pb 0.571 0.571 0.929
95 Pb 0.571 0.929 0.571
96 Pb 0.571 0.929 0.929
97 Pb 0.679 0.321 0.321
98 Pb 0.679 0.321 0.679
99 Pb 0.679 0.679 0.321
100 Pb 0.916 0.251 0.916
101 Pb 0.916 0.916 0.251
102 Pb 0.916 0.916 0.916
103 Pb 0.929 0.571 0.571
104 Pb 0.929 0.571 0.929
105 Pb 0.929 0.929 0.571

Properties
Calculated volume   1913.33 Å³ per cell
Symmetry   F-43m, No. 216
Raw total energy   -55.94 eV/f.u.


(3)
Density functional theory data (PBEsol) for a relaxed Li7Pb2 crystal.

Cell lengths 4.690, 4.690, 8.482 Å; angles 90.00, 90.00, 120.00 degrees
Element x y z (fractional)
1 Li 0.000 0.000 0.000
2 Li 0.000 0.000 0.324
3 Li 0.000 0.000 0.676
4 Li 0.333 0.667 0.103
5 Li 0.333 0.667 0.424
6 Li 0.667 0.333 0.576
7 Li 0.667 0.333 0.897
8 Pb 0.333 0.667 0.764
9 Pb 0.667 0.333 0.236

Properties
Calculated volume   161.56 Å³ per cell
Symmetry   P-3m1, No. 164
Raw total energy   -24.83 eV/f.u.


Look up the calculated volume of the third one.
161.56 Å³ per cell